[1]
A relaxed RbScAg crystal, computed with GGA-PBE.

a b c (Å): 5.281 5.281 5.281
angles (deg): 60.00 60.00 60.00
Element x y z (fractional)
Rb: 0.000 0.000 0.000
Sc: 0.250 0.250 0.250
Ag: 0.750 0.750 0.750

Electronic total energy (eV/atom): -2.1868
Space group: F-43m
Magnetization (μB per formula unit): 1.30

[2]
A relaxed RbScAgSe3 crystal, computed with GGA-PBE.

a b c (Å): 8.136 8.136 10.410
angles (deg): 90.00 90.00 152.07
Element x y z (fractional)
Rb: 0.245 0.755 0.750
Rb: 0.755 0.245 0.250
Sc: 0.000 0.000 0.000
Sc: 0.000 0.000 0.500
Ag: 0.462 0.538 0.250
Ag: 0.538 0.462 0.750
Se: 0.071 0.929 0.250
Se: 0.380 0.620 0.036
Se: 0.380 0.620 0.464
Se: 0.620 0.380 0.536
Se: 0.620 0.380 0.964
Se: 0.929 0.071 0.750

Electronic total energy (eV/atom): -4.4584
Space group: Cmcm
Magnetization (μB per formula unit): 0.01

[3]
A relaxed RbScAgSe3 crystal, computed with GGA-PBE.

a b c (Å): 15.542 3.961 10.640
angles (deg): 90.00 90.00 90.00
Element x y z (fractional)
Rb: 0.234 0.250 0.047
Rb: 0.266 0.750 0.547
Rb: 0.734 0.250 0.453
Rb: 0.766 0.750 0.953
Sc: 0.021 0.250 0.346
Sc: 0.479 0.750 0.846
Sc: 0.521 0.250 0.154
Sc: 0.979 0.750 0.654
Ag: 0.020 0.750 0.095
Ag: 0.480 0.250 0.595
Ag: 0.520 0.750 0.405
Ag: 0.980 0.250 0.905
Se: 0.090 0.250 0.579
Se: 0.090 0.750 0.858
Se: 0.132 0.750 0.278
Se: 0.368 0.250 0.778
Se: 0.410 0.250 0.358
Se: 0.410 0.750 0.079
Se: 0.590 0.250 0.921
Se: 0.590 0.750 0.642
Se: 0.632 0.750 0.222
Se: 0.868 0.250 0.722
Se: 0.910 0.250 0.142
Se: 0.910 0.750 0.421

Electronic total energy (eV/atom): -4.4778
Space group: Pnma
Magnetization (μB per formula unit): 0.00

Number 1 is which compound? RbScAg